[1]
The following is a DFT calculation (PBE-GGA) of a relaxed structure of CaSi2H.

Values from the calculation:
polymorph energy (0 for the lowest one): 0.137 eV per formula unit
space group: R3m (160)
crystal system: trigonal
uncorrected energy: -4.295 eV per atom

Structure (extended XYZ):
```
12
Lattice="3.832 0.000 0.000 -1.916 3.318 0.000 0.000 0.000 16.622" Properties=species:S:1:pos:R:3 pbc="T T T"
Ca 0.000 0.000 3.173
Ca 0.000 2.212 14.254
Ca 1.916 1.106 8.714
Si 0.000 0.000 16.592
Si 0.000 2.212 11.051
Si 1.916 1.106 5.511
Si 0.000 0.000 11.826
Si 0.000 2.212 6.286
Si 1.916 1.106 0.745
H 0.000 0.000 8.342
H 0.000 2.212 2.802
H 1.916 1.106 13.883
```

=====

[2]
The following is a DFT calculation (PBE-GGA) of a relaxed structure of Cr2Os.

Values from the calculation:
space group: P6_3/mmc (194)
crystal system: hexagonal
energy of formation: 269 meV/atom
uncorrected energy: -9.890 eV per atom

Structure (extended XYZ):
```
6
Lattice="2.109 -3.653 0.000 2.109 3.653 0.000 0.000 0.000 5.037" Properties=species:S:1:pos:R:3 pbc="T T T"
Cr 0.000 0.000 0.000
Cr 0.000 0.000 2.518
Cr 2.109 1.218 1.259
Cr 2.109 -1.218 3.778
Os 2.109 1.218 3.778
Os 2.109 -1.218 1.259
```

=====

[3]
The following is a DFT calculation (PBE-GGA) of a relaxed structure of Pr4ZnCu.

Values from the calculation:
polymorph energy (0 for the lowest one): 1.235 eV per formula unit
space group: Pm (6)
crystal system: monoclinic
energy of formation: 80 meV/atom
uncorrected energy: -4.001 eV per atom

Structure (extended XYZ):
```
6
Lattice="-3.705 0.563 3.394 -2.556 -3.793 -2.162 3.305 -4.741 4.398" Properties=species:S:1:pos:R:3 pbc="T T T"
Pr -3.565 -4.704 0.664
Pr -1.956 -7.019 2.808
Pr 1.175 -5.403 2.192
Pr -0.433 -3.090 0.048
Zn 0.170 -6.336 5.015
Cu -0.906 -6.143 0.043
```